No. 1
A plane-wave DFT calculation with PBEsol was carried out for a relaxed structure of ScAsP3.

extended XYZ file:
```
5
Lattice="4.816 0.000 0.000 0.000 4.816 0.000 0.000 0.000 4.816" Properties=species:S:1:pos:R:3 pbc="T T T"
Sc 0.000 0.000 0.000
As 2.408 2.408 2.408
P 0.000 0.000 2.408
P 0.000 2.408 0.000
P 2.408 0.000 0.000
```

Computed properties:
Space-group type: Pm-3m (221)
Formation energy, eV per formula unit: 3.71
VASP energy, eV for the cell shown: -25.37

---

No. 2
A plane-wave DFT calculation with PBEsol was carried out for a relaxed structure of ScCd3Au.

extended XYZ file:
```
5
Lattice="5.070 0.000 0.000 0.000 5.070 0.000 0.000 0.000 5.070" Properties=species:S:1:pos:R:3 pbc="T T T"
Sc 0.000 0.000 0.000
Cd 0.000 2.535 2.535
Cd 2.535 0.000 2.535
Cd 2.535 2.535 0.000
Au 2.535 2.535 2.535
```

Computed properties:
Excess energy over the best structure of this formula in the dataset, eV/f.u.: 0.00
Space-group type: Pm-3m (221)
Formation energy, eV per formula unit: 1.45
VASP energy, eV for the cell shown: -12.67

---

No. 3
A plane-wave DFT calculation with PBEsol was carried out for a relaxed structure of MoRu2.

extended XYZ file:
```
12
Lattice="3.799 0.000 0.000 0.000 11.604 0.000 0.000 0.000 3.810" Properties=species:S:1:pos:R:3 pbc="T T T"
Mo 0.000 1.032 0.953
Mo 0.000 10.572 2.858
Mo 1.900 4.770 2.858
Mo 1.900 6.834 0.953
Ru 0.000 2.885 2.858
Ru 0.000 4.813 0.953
Ru 0.000 6.791 2.858
Ru 0.000 8.719 0.953
Ru 1.900 0.989 2.858
Ru 1.900 2.917 0.953
Ru 1.900 8.687 2.858
Ru 1.900 10.615 0.953
```

Computed properties:
Space-group type: Cmcm (63)
Formation energy, eV per formula unit: 0.17
VASP energy, eV for the cell shown: -127.78

---

No. 4
A plane-wave DFT calculation with PBEsol was carried out for a relaxed structure of Zr3N4.

extended XYZ file:
```
7
Lattice="1.709 0.987 8.337 -1.709 0.987 8.337 0.000 -1.974 8.337" Properties=species:S:1:pos:R:3 pbc="T T T"
Zr 0.000 0.000 0.000
Zr 0.000 0.000 5.561
Zr 0.000 0.000 19.449
N 0.000 0.000 3.308
N 0.000 0.000 9.465
N 0.000 0.000 15.546
N 0.000 0.000 21.703
```

Computed properties:
E_form (uncorrected), eV/atom: -1.683
Excess energy over the best structure of this formula in the dataset, eV/f.u.: 0.31
Space-group type: R-3m (166)
VASP energy, eV for the cell shown: -73.16

---

No. 5
A plane-wave DFT calculation with PBEsol was carried out for a relaxed structure of CrCo2Ru.

extended XYZ file:
```
8
Lattice="4.941 0.000 0.000 0.000 7.175 0.000 0.000 0.000 2.498" Properties=species:S:1:pos:R:3 pbc="T T T"
Cr 0.000 0.000 0.000
Cr 2.470 3.588 0.000
Co 1.235 1.794 1.249
Co 1.235 5.381 1.249
Co 3.706 1.794 1.249
Co 3.706 5.381 1.249
Ru 0.000 3.588 0.000
Ru 2.470 0.000 0.000
```

Computed properties:
Excess energy over the best structure of this formula in the dataset, eV/f.u.: 0.18
Space-group type: Cmmm (65)
Formation energy, eV per formula unit: 0.33
VASP energy, eV for the cell shown: -71.12

---

No. 6
A plane-wave DFT calculation with PBEsol was carried out for a relaxed structure of Cr3Fe.

extended XYZ file:
```
8
Lattice="2.829 0.000 0.000 0.000 3.910 0.000 0.000 0.000 7.917" Properties=species:S:1:pos:R:3 pbc="T T T"
Cr 0.000 0.000 0.000
Cr 0.000 1.955 1.990
Cr 0.000 1.955 5.927
Cr 1.415 0.000 1.990
Cr 1.415 0.000 5.927
Cr 1.415 1.955 0.000
Fe 0.000 0.000 3.959
Fe 1.415 1.955 3.959
```

Computed properties:
Space-group type: Cmmm (65)
Formation energy, eV per formula unit: 0.16
VASP energy, eV for the cell shown: -79.06

---

No. 7
A plane-wave DFT calculation with PBEsol was carried out for a relaxed structure of LiYMo2.

extended XYZ file:
```
16
Lattice="6.484 0.000 0.000 0.000 6.484 0.000 0.000 0.000 6.484" Properties=species:S:1:pos:R:3 pbc="T T T"
Li 0.000 0.000 0.000
Li 0.000 3.242 3.242
Li 3.242 0.000 3.242
Li 3.242 3.242 0.000
Y 1.621 1.621 1.621
Y 1.621 4.863 4.863
Y 4.863 1.621 4.863
Y 4.863 4.863 1.621
Mo 0.000 0.000 3.242
Mo 0.000 3.242 0.000
Mo 1.621 1.621 4.863
Mo 1.621 4.863 1.621
Mo 3.242 0.000 0.000
Mo 3.242 3.242 3.242
Mo 4.863 1.621 1.621
Mo 4.863 4.863 4.863
```

Computed properties:
Excess energy over the best structure of this formula in the dataset, eV/f.u.: 0.00
Space-group type: F-43m (216)
Formation energy, eV per formula unit: 1.54
VASP energy, eV for the cell shown: -123.13

---

No. 8
A plane-wave DFT calculation with PBEsol was carried out for a relaxed structure of Mn5CoO12.

extended XYZ file:
```
18
Lattice="2.452 -4.252 0.000 2.452 4.252 0.000 -0.003 0.000 9.522" Properties=species:S:1:pos:R:3 pbc="T T T"
Mn 0.000 0.000 0.000
Mn 2.451 2.834 4.761
Mn 2.452 1.417 0.000
Mn 2.452 -1.417 0.000
Mn 2.451 -2.834 4.761
Co 2.451 0.000 4.761
O 3.269 -2.834 0.957
O 1.633 2.834 8.565
O 0.831 0.000 3.826
O 1.642 1.404 5.696
O 3.269 2.834 0.957
O 1.632 0.000 8.566
O 1.642 -1.404 5.696
O 3.259 1.404 3.827
O 1.633 -2.834 8.565
O 3.269 0.000 0.957
O 3.259 -1.404 3.827
O 4.070 0.000 5.696
```

Computed properties:
E_form (uncorrected), eV/atom: -1.463
Space-group type: C2/m (12)
VASP energy, eV for the cell shown: -145.86